Compound: CaNiPt2C
Source: Alexandria
Functional: GGA-PBE
Structure: relaxed

extended XYZ file:
```
5
Lattice="-0.626 0.070 4.903 3.432 -0.395 0.444 0.565 4.910 0.002" Properties=species:S:1:pos:R:3 pbc="T T T"
Ni 0.000 0.000 0.000
Ca 1.686 2.293 2.674
C 1.716 -0.198 0.222
Pt 0.283 2.455 0.001
Pt -0.313 0.035 2.451
```

Results
The value obtained for the density of states at the Fermi level is 3.69 states/eV/cell. The formation energy is 0.38 eV/atom. As for the space group: P4/mmm, No. 123. The value obtained for the volume is 17.021 A^3/atom.

Compound: CaNi2RhC
Source: Alexandria
Functional: GGA-PBE
Structure: relaxed

extended XYZ file:
```
5
Lattice="-0.593 0.928 3.830 -0.828 -3.816 0.796 3.978 -0.700 0.786" Properties=species:S:1:pos:R:3 pbc="T T T"
Ni -0.414 -1.908 0.398
Ni -0.297 0.464 1.915
Ca 1.278 -1.794 2.706
Rh 1.989 -0.350 0.393
C 0.000 0.000 0.000
```

Results
The value obtained for the density of states at the Fermi level is 3.85 states/eV/cell. The formation energy is -0.10 eV/atom. As for the space group: P4/mmm, No. 123. The value obtained for the volume is 13.069 A^3/atom.

Compound: CaNiRh2C
Source: Alexandria
Functional: GGA-PBE
Structure: relaxed

extended XYZ file:
```
5
Lattice="4.170 0.000 0.000 0.000 4.170 0.000 0.000 0.000 3.953" Properties=species:S:1:pos:R:3 pbc="T T T"
Ni 0.000 0.000 1.976
Ca 2.085 2.085 1.976
Rh 0.000 2.085 0.000
Rh 2.085 0.000 0.000
C 0.000 0.000 0.000
```

Results
The value obtained for the density of states at the Fermi level is 0.71 states/eV/cell. The formation energy is -0.21 eV/atom. As for the space group: P4/mmm, No. 123. The value obtained for the volume is 13.744 A^3/atom.

Compound: CaNi2RuC
Source: Alexandria
Functional: GGA-PBE
Structure: relaxed

extended XYZ file:
```
5
Lattice="3.992 0.000 0.000 0.000 3.992 0.000 0.000 0.000 4.067" Properties=species:S:1:pos:R:3 pbc="T T T"
Ru 0.000 0.000 2.034
Ca 1.996 1.996 2.034
C 0.000 0.000 0.000
Ni 0.000 1.996 0.000
Ni 1.996 0.000 0.000
```

Results
The value obtained for the density of states at the Fermi level is 1.52 states/eV/cell. The formation energy is 0.00 eV/atom. As for the space group: P4/mmm, No. 123. The value obtained for the volume is 12.962 A^3/atom.